# ErTh2Ti

An optimized crystal structure of ErTh2Ti (PBE-GGA, Alexandria via LeMat-Bulk).

Unit cell a=3.3541 b=3.3541 c=11.9086 alpha=81.90 beta=81.90 gamma=60.00
Positions (direct):
Ti 0.0000 0.0000 0.0000
Th 0.0811 0.0811 0.7568
Er 0.5000 0.5000 0.5000
Th 0.9189 0.9189 0.2432

## Properties
SG ... No. 166
Relative energy among the computed polymorphs ... 117 kJ/mol of formula units
DOS at the Fermi energy ... 6.09 states/eV per cell
Electronic total energy ... -25.58 eV for the cell shown
Magnetic moment ... 0.000 μB per atom